# Mg2Si4Ni5

Mg2Si4Ni5 after structural relaxation (PBE, the Alexandria database).

## Properties
Its formation energy without anion corrections is -0.40 eV per atom. The total energy is -232.90 eV for the cell shown.

Lattice parameters (Å, degrees): 5.0225 8.5715 14.2765 90.00 90.00 90.00
With the nearest neighbours (Å) after each atom.
Space group Fmmm (No. 69)
Unique sites:
Mg: 0.0000 0.0000 0.1143  6 Si 2.87-2.91, 10 Ni 2.97-3.15
Si: 0.0000 0.1615 0.3713  5 Ni 2.27-2.35
Ni: 0.0000 0.0000 0.5000  4 Si 2.30, 4 Ni 2.48
Ni: 0.2500 0.2500 0.0000  4 Si 2.35, 4 Ni 2.48-2.51
Ni: 0.2500 0.2500 0.2500  4 Si 2.27, 2 Ni 2.51

# NaUS2O8

NaUS2O8 after structural relaxation (PBE, the Alexandria database).

## Properties
Its formation energy without anion corrections is -1.77 eV per atom. The total energy is -81.74 eV for the cell shown.

Lattice parameters (Å, degrees): 5.5096 5.5096 7.2565 90.00 90.00 120.00
With the nearest neighbours (Å) after each atom.
Space group P-3m1 (No. 164)
Unique sites:
Na: 0.0000 0.0000 0.0000  6 O 2.72
U: 0.0000 0.0000 0.5000  6 O 2.37
S: 0.3333 0.6667 0.2088  4 O 1.45-1.51
O: 0.1861 0.3723 0.2840  1 S 1.51
O: 0.3333 0.6667 0.0095  1 S 1.45

# LiErSi2Pd2

LiErSi2Pd2 after structural relaxation (PBE, the Alexandria database).

## Properties
Its formation energy without anion corrections is -0.79 eV per atom. The total energy is -32.46 eV for the cell shown.

Lattice parameters (Å, degrees): 4.1892 4.1892 6.5096 90.00 90.00 120.00
With the nearest neighbours (Å) after each atom.
Space group P-3m1 (No. 164)
Unique sites:
Li: 0.0000 0.0000 0.0000  6 Pd 2.64, 6 Si 2.83
Er: 0.0000 0.0000 0.5000  6 Si 3.01, 2 Li 3.25, 6 Pd 3.26
Si: 0.3333 0.6667 0.7754  4 Pd 2.45-2.53
Pd: 0.3333 0.6667 0.1635  4 Si 2.45-2.53, 3 Li 2.64

# Ti2AlVC

Ti2AlVC after structural relaxation (PBE, the Alexandria database).

## Properties
As for the energy above the most stable polymorph in this dataset: 0.0 kJ/mol of atoms. The total energy is -40.31 eV for the cell shown. The calculated formation energy is -0.487 eV per atom.

Lattice parameters (Å, degrees): 4.2101 4.2101 3.9372 90.00 90.00 90.00
With the nearest neighbours (Å) after each atom.
Space group P4/mmm (No. 123)
Unique sites:
Ti: 0.0000 0.5000 0.0000  2 C 2.11
Al: 0.0000 0.0000 0.5000  8 Ti 2.88, 4 V 2.98
V: 0.5000 0.5000 0.5000  2 C 1.97
C: 0.5000 0.5000 0.0000  2 V 1.97, 4 Ti 2.11